Entry 1:
Entry from the Alexandria database: Cr2SiBiP after structural relaxation (GGA-PBE).

symmetry = P4/mmm (123)
magnetization = 7.2 μB/f.u.
raw formation energy = 0.74 eV per atom
electronic total energy = -0.223 hartree per atom

CIF file:
```
data_Cr2SiBiP
_chemical_formula_sum 'Cr2 Si1 Bi1 P1'
_cell_length_a 4.518
_cell_length_b 5.560
_cell_length_c 4.518
_cell_angle_alpha 90.00
_cell_angle_beta 90.00
_cell_angle_gamma 90.00
_symmetry_space_group_name_H-M 'P 1'
_symmetry_Int_Tables_number 1
loop_
_symmetry_equiv_pos_as_xyz
'x,y,z'
loop_
_atom_site_label
_atom_site_type_symbol
_atom_site_fract_x
_atom_site_fract_y
_atom_site_fract_z
P1 P 0.000 0.000 0.000
Cr1 Cr 0.000 0.000 0.500
Cr2 Cr 0.500 0.000 0.000
Bi1 Bi 0.000 0.500 0.000
Si1 Si 0.500 0.500 0.500
```

=====

Entry 2:
Entry from the Alexandria database: Ti2CrBiP after structural relaxation (GGA-PBE).

symmetry = P4/mmm (123)
magnetization = 0.0 μB/f.u.
formation energy = 1.17 eV/f.u.
electronic total energy = -0.246 hartree per atom

CIF file:
```
data_Ti2CrBiP
_chemical_formula_sum 'Ti2 Cr1 Bi1 P1'
_cell_length_a 4.747
_cell_length_b 4.268
_cell_length_c 4.747
_cell_angle_alpha 90.00
_cell_angle_beta 90.00
_cell_angle_gamma 90.00
_symmetry_space_group_name_H-M 'P 1'
_symmetry_Int_Tables_number 1
loop_
_symmetry_equiv_pos_as_xyz
'x,y,z'
loop_
_atom_site_label
_atom_site_type_symbol
_atom_site_fract_x
_atom_site_fract_y
_atom_site_fract_z
P1 P 0.000 0.500 0.000
Ti1 Ti 0.500 0.000 0.000
Ti2 Ti 0.000 0.000 0.500
Cr1 Cr 0.000 0.000 0.000
Bi1 Bi 0.500 0.500 0.500
```